1.
Here is an optimized crystal structure of PrMgTlCu from the Alexandria database. Energies are from PBE-GGA.

Values from the calculation:
magnetic moment	0.0	μB per formula unit
energy of formation	-0.8	eV/f.u.
final energy	-13.6	eV/f.u.
N(E_F)	0.4030	states/eV per atom
crystal system	cubic

a = 5.105 Å, b = 5.105 Å, c = 5.105 Å
α = 60.00°, β = 60.00°, γ = 60.00°
Element x y z (fractional)
Pr (0.000, 0.000, 0.000)
Mg (0.500, 0.500, 0.500)
Tl (0.750, 0.750, 0.750)
Cu (0.250, 0.250, 0.250)

***

2.
Here is an optimized crystal structure of GaHNF2 from the Alexandria database. Energies are from PBE-GGA.

Values from the calculation:
excess energy over the best structure of this formula in the dataset	0.0	meV/atom
magnetic moment	3.0	μB per formula unit
final energy	-19.6	eV/f.u.
N(E_F)	0.0537	states/eV per atom
crystal system	tetragonal

a = 3.974 Å, b = 3.974 Å, c = 3.954 Å
α = 90.00°, β = 90.00°, γ = 90.00°
Element x y z (fractional)
Ga (0.000, 0.000, 0.000)
H (0.500, 0.500, 0.500)
N (0.000, 0.000, 0.500)
F (0.000, 0.500, 0.000)
F (0.500, 0.000, 0.000)

***

3.
Here is an optimized crystal structure of KSc2Fe from the Alexandria database. Energies are from PBE-GGA.

Values from the calculation:
excess energy over the best structure of this formula in the dataset	199.2	meV/atom
magnetic moment	0.0	μB per formula unit
energy of formation	1.4	eV/f.u.
final energy	-20.8	eV/f.u.
N(E_F)	0.8446	states/eV per atom
crystal system	orthorhombic

a = 10.244 Å, b = 10.244 Å, c = 10.244 Å
α = 161.70°, β = 160.95°, γ = 26.53°
Element x y z (fractional)
K (0.000, 0.000, 0.000)
Sc (0.184, 0.684, 0.500)
Sc (0.329, 0.329, 0.000)
Fe (0.743, 0.243, 0.500)

***

4.
Here is an optimized crystal structure of K2TlMo from the Alexandria database. Energies are from PBE-GGA.

Values from the calculation:
excess energy over the best structure of this formula in the dataset	275.9	meV/atom
magnetic moment	3.4	μB per formula unit
energy of formation	4.1	eV/f.u.
final energy	-11.2	eV/f.u.
N(E_F)	0.4866	states/eV per atom
crystal system	orthorhombic

a = 6.706 Å, b = 6.706 Å, c = 6.706 Å
α = 140.27°, β = 140.08°, γ = 57.59°
Element x y z (fractional)
K (0.250, 0.250, 0.000)
K (0.750, 0.750, 0.000)
Tl (0.500, 0.000, 0.500)
Mo (0.000, 0.500, 0.500)